1.
AsOs2Br | PBE | optimized geometry

Values from the calculation:
DOS at the Fermi energy ... 2.0 states/eV/cell
Calculated volume ... 20.6 Å³/atom
Raw formation energy ... 0.3949 eV per atom
Distance to the lowest polymorph of the same formula ... 0.000 eV/atom
Calculated total energy ... -27.20 eV/cell
Size of the total moment ... 0.00 μB per atom

Cell: 3.654 2.868 7.990 Å, 79.60 90.00 90.00°
Element x y z (fractional)
Br1 0.500 0.904 0.819
As1 0.000 0.613 0.398
Os1 0.500 0.204 0.217
Os2 0.000 0.779 0.066



2.
AsOsBr4 | PBE | optimized geometry

Values from the calculation:
DOS at the Fermi energy ... 8.4 states/eV/cell
Calculated volume ... 26.6 Å³/atom
Raw formation energy ... 1.7490 eV per atom
Calculated total energy ... -12.08 eV/cell
Size of the total moment ... 0.43 μB per atom

Cell: 6.087 6.087 6.087 Å, 60.00 60.00 60.00°
Last column: magnetic moment on the atom in μB.
Element x y z (fractional)
Br1 0.376 0.873 0.376  0.02
Br2 0.376 0.376 0.376  0.02
Br3 0.376 0.376 0.873  0.02
Br4 0.873 0.376 0.376  0.02
As1 0.000 0.000 0.000  -0.67
Os1 0.750 0.750 0.750  3.41



3.
AsOs2Br | PBE | optimized geometry

Values from the calculation:
DOS at the Fermi energy ... 2.6 states/eV/cell
Calculated volume ... 18.5 Å³/atom
Raw formation energy ... 0.5485 eV per atom
Distance to the lowest polymorph of the same formula ... 0.154 eV/atom
Calculated total energy ... -26.59 eV/cell
Size of the total moment ... 0.00 μB per atom

Cell: 9.913 9.913 9.913 Å, 17.15 17.15 17.15°
Element x y z (fractional)
As1 0.478 0.478 0.478
Os1 0.008 0.008 0.008
Os2 0.745 0.745 0.745
Br1 0.269 0.269 0.269



Q: Look up the raw formation energy of the first one.
A: 0.3949 eV per atom



Q: calculated total energy of number 1 (AsOs2Br)?
A: -27.20 eV/cell